BaMgTi (PBE-GGA, relaxed); ρ = 3.8 Mg/m³; DFT formation energy = 0.7 eV/f.u.; energy above the lowest structure with this stoichiometry = 0 meV/atom; DFT total energy = -3.55 eV per atom
1.0
3.588 0.001 0.004
-0.001 3.584 0.143
0.000 -0.554 14.217
Ba Mg Ti
2 2 2
Direct
0.124 0.771 0.713
0.620 0.268 0.443
0.623 0.270 0.911
0.122 0.769 0.245
0.622 0.269 0.121
0.122 0.769 0.035

---

BaMgTi (PBE-GGA, relaxed); ρ = 1.7 Mg/m³; DFT formation energy = 5.7 eV/f.u.; energy above the lowest structure with this stoichiometry = 1660 meV/atom; DFT total energy = -1.90 eV per atom
1.0
5.204 -3.005 0.000
0.000 6.010 0.000
0.000 0.000 12.845
Ti Mg Ba
2 2 2
Direct
0.000 0.000 0.500
0.000 0.000 0.000
0.333 0.667 0.250
0.667 0.333 0.750
0.000 0.000 0.250
0.000 0.000 0.750

---

BaMg14Ti (PBE-GGA, relaxed); ρ = 2.2 Mg/m³; DFT formation energy = 2.0 eV/f.u.; energy above the lowest structure with this stoichiometry = 8 meV/atom; DFT total energy = -1.88 eV per atom
1.0
-6.011 1.188 -2.465
4.142 -4.343 -2.758
-4.029 -7.719 6.103
Mg Ti Ba
14 1 1
Direct
0.163 0.837 0.229
0.335 0.665 0.000
0.678 0.834 0.756
0.166 0.322 0.756
0.679 0.321 0.734
0.679 0.321 0.266
0.324 0.187 0.500
0.341 0.173 0.000
0.813 0.676 0.500
0.163 0.837 0.771
0.166 0.322 0.244
0.678 0.834 0.244
0.827 0.659 0.000
0.834 0.166 0.000
0.844 0.156 0.500
0.311 0.689 0.500

---

BaMg3Ti (PBE-GGA, relaxed); ρ = 2.2 Mg/m³; DFT formation energy = 8.3 eV/f.u.; energy above the lowest structure with this stoichiometry = 1209 meV/atom; DFT total energy = -1.26 eV per atom
1.0
-0.996 -3.470 -4.535
1.131 -4.632 3.296
-5.597 -0.319 1.473
Mg Ba Ti
3 1 1
Direct
0.000 0.000 0.500
0.000 0.500 0.000
0.500 0.000 0.000
0.000 0.000 0.000
0.500 0.500 0.500

---

BaMgTi (PBE-GGA, relaxed); ρ = 3.8 Mg/m³; DFT formation energy = 1.2 eV/f.u.; energy above the lowest structure with this stoichiometry = 148 meV/atom; DFT total energy = -3.41 eV per atom
1.0
-7.546 0.580 -1.858
0.544 -2.111 -2.866
-2.627 -10.650 7.346
Ba Ti Mg
4 4 4
Direct
0.365 0.750 0.270
0.635 0.250 0.730
0.865 0.750 0.230
0.135 0.250 0.770
0.070 0.250 0.442
0.430 0.750 0.942
0.570 0.250 0.058
0.930 0.750 0.558
0.832 0.750 0.956
0.668 0.250 0.456
0.332 0.750 0.544
0.168 0.250 0.044

---

BaMgTi2W (PBE-GGA, relaxed); ρ = 5.9 Mg/m³; DFT formation energy = 10.9 eV/f.u.; DFT total energy = -4.27 eV per atom
1.0
4.944 0.000 0.000
0.000 5.062 0.000
0.000 0.000 4.944
W Ba Ti Mg
1 1 2 1
Direct
0.000 0.500 0.000
0.000 0.000 0.000
0.500 0.000 0.000
0.000 0.000 0.500
0.500 0.500 0.500

---

Ba3Mg2Tl (PBE-GGA, relaxed); ρ = 4.5 Mg/m³; DFT formation energy = -1.1 eV/f.u.; DFT total energy = -2.06 eV per atom
1.0
4.321 0.000 0.000
0.000 4.321 0.000
0.000 0.000 13.127
Tl Ba Mg
1 3 2
Direct
0.500 0.500 0.500
0.000 0.000 0.000
0.000 0.000 0.659
0.000 0.000 0.341
0.500 0.500 0.167
0.500 0.500 0.833

---

Ba2MgTl3 (PBE-GGA, relaxed); ρ = 7.1 Mg/m³; DFT formation energy = -1.9 eV/f.u.; DFT total energy = -2.40 eV per atom
1.0
-2.205 -3.435 5.492
6.808 -0.508 0.466
-2.058 9.813 2.023
Tl Mg Ba
6 2 4
Direct
0.170 0.170 0.341
0.170 0.660 0.829
0.830 0.340 0.171
0.660 0.170 0.829
0.340 0.830 0.171
0.830 0.830 0.659
0.333 0.333 0.666
0.667 0.667 0.334
0.756 0.756 0.000
0.244 0.244 0.000
0.750 0.250 0.500
0.250 0.750 0.500